Record 1
Entry from Alexandria via LeMat-Bulk: crystalline PaNiPd2O6 at its relaxed geometry (PBE with a Hubbard U).

The calculated density is 8.0 g cm⁻³. The calculation puts the raw total energy at -6.72 eV/atom. The calculation puts the density of states at the Fermi level at 0.628 states/eV per atom. As for the calculated volume: 247.1 Å³/cell. The magnetic moment comes out at 1.0 μB per formula unit.

Cell: 5.4024 6.8544 6.8544 Å, 77.39 93.15 93.15°
Last column: nearest neighbours and their distance in Å.
Positions (direct):
O  0.9429  0.3304  0.4453  1 Pd 2.01, 1 Pa 2.14
O  0.0385  0.6420  0.1187  2 Pd 2.05, 1 Ni 2.15, 1 Pa 2.28
O  0.0833  0.0040  0.8051  2 Ni 2.01-2.14, 1 Pd 2.02
O  0.4615  0.8813  0.3580  2 Pd 2.05, 1 Ni 2.15, 1 Pa 2.28
O  0.4429  0.4453  0.3304  1 Pd 2.01, 1 Pa 2.14
Pa  0.2500  0.3459  0.6541  4 O 2.14-2.28
Ni  0.7500  0.0788  0.9212  6 O 2.01-2.15
O  0.5833  0.8051  0.0040  2 Ni 2.01-2.14, 1 Pd 2.02
O  0.0571  0.6696  0.5547  1 Pd 2.01, 1 Pa 2.14
Pd  0.7297  0.0937  0.3989  4 O 2.01-2.05
O  0.9167  0.9960  0.1949  2 Ni 2.01-2.14, 1 Pd 2.02
Pd  0.2297  0.3989  0.0937  4 O 2.01-2.05
O  0.5385  0.1187  0.6420  2 Pd 2.05, 1 Ni 2.15, 1 Pa 2.28
O  0.9615  0.3580  0.8813  2 Pd 2.05, 1 Ni 2.15, 1 Pa 2.28
Pd  0.2703  0.9063  0.6011  4 O 2.01-2.05
Ni  0.2500  0.9212  0.0788  6 O 2.01-2.15
O  0.5571  0.5547  0.6696  1 Pd 2.01, 1 Pa 2.14
Pd  0.7703  0.6011  0.9063  4 O 2.01-2.05
Pa  0.7500  0.6541  0.3459  4 O 2.14-2.28
O  0.4167  0.1949  0.9960  2 Ni 2.01-2.14, 1 Pd 2.02

---

Record 2
Entry from Alexandria via LeMat-Bulk: crystalline PmPaNi2O6 at its relaxed geometry (PBE with a Hubbard U).

The calculated density is 7.6 g cm⁻³. The calculation puts the raw total energy at -7.42 eV/atom. The calculation puts the density of states at the Fermi level at 0.000 states/eV per atom. As for the calculated volume: 128.5 Å³/cell. The magnetic moment comes out at 4.0 μB per formula unit.

Cell: 5.5435 5.5433 5.7933 Å, 61.41 61.41 59.99°
Last column: nearest neighbours and their distance in Å.
Positions (direct):
O  0.7262  0.1552  0.7497  2 Ni 2.07-2.20, 1 Pa 2.21, 1 Pm 2.30
O  0.6289  0.2414  0.2354  2 Ni 2.06-2.17, 1 Pa 2.19
Ni  0.5210  0.5209  0.4370  6 O 2.06-2.20
Pm  0.7999  0.7999  0.6003  6 O 2.30-2.45
Pa  0.3112  0.3112  0.0664  6 O 2.19-2.21
Ni  0.0147  0.0147  0.9559  6 O 2.07-2.17
O  0.3690  0.7262  0.7497  2 Ni 2.07-2.20, 1 Pa 2.21, 1 Pm 2.30
O  0.1551  0.3690  0.7498  2 Ni 2.07-2.20, 1 Pa 2.21, 1 Pm 2.30
O  0.8942  0.6290  0.2355  2 Ni 2.06-2.17, 1 Pa 2.19
O  0.2414  0.8942  0.2354  2 Ni 2.06-2.17, 1 Pa 2.19

---

Record 3
Entry from Alexandria via LeMat-Bulk: crystalline PaNiPt2O8 at its relaxed geometry (PBE with a Hubbard U).

The calculated density is 8.3 g cm⁻³. The calculation puts the raw total energy at -6.37 eV/atom. The calculation puts the density of states at the Fermi level at 0.690 states/eV per atom. As for the calculated volume: 161.8 Å³/cell. The magnetic moment comes out at 1.7 μB per formula unit.

Cell: 5.9464 5.9464 5.9464 Å, 110.07 110.07 108.27°
Last column: nearest neighbours and their distance in Å.
Positions (direct):
O  0.2849  0.4606  0.1758  1 Pt 1.92
Pt  0.7500  0.2500  0.5000  4 O 1.94
Pa  0.2500  0.7500  0.5000  8 O 2.22-2.34
O  0.9647  0.2841  0.3194  1 Pt 1.94
O  0.2849  0.1091  0.8242  1 Pt 1.92
Pt  0.5000  0.5000  0.0000  4 O 1.92
O  0.8909  0.7151  0.1758  1 Pt 1.92
Ni  0.0000  0.0000  0.0000  8 O 2.19-2.32
O  0.7159  0.0353  0.6806  1 Pt 1.94
O  0.9647  0.6452  0.6806  1 Pt 1.94
O  0.5394  0.7151  0.8242  1 Pt 1.92
O  0.3548  0.0353  0.3194  1 Pt 1.94

---

Record 4
Entry from Alexandria via LeMat-Bulk: crystalline Rb3PaNi2O6 at its relaxed geometry (PBE with a Hubbard U).

The calculated density is 6.3 g cm⁻³. The calculation puts the raw total energy at -5.78 eV/atom. The calculation puts the density of states at the Fermi level at 0.000 states/eV per atom. As for the calculated volume: 183.9 Å³/cell. The magnetic moment comes out at 4.0 μB per formula unit.

Cell: 5.7341 5.7341 6.7374 Å, 97.99 97.99 120.16°
Last column: nearest neighbours and their distance in Å.
Positions (direct):
O  0.9417  0.6094  0.8273  2 Ni 2.20-2.22, 1 Pa 2.21
Rb  0.5000  0.5000  0.5000  6 O 2.84-2.85
Ni  0.3333  0.6667  0.0000  6 O 2.20-2.23
O  0.7263  0.7263  0.1754  1 Pa 2.21, 2 Ni 2.23
O  0.2737  0.2737  0.8246  1 Pa 2.21, 2 Ni 2.23
Rb  0.1736  0.8264  0.5000  6 O 2.82-2.88
Rb  0.8264  0.1736  0.5000  6 O 2.82-2.88
O  0.3906  0.0583  0.1727  2 Ni 2.20-2.22, 1 Pa 2.21
Pa  0.0000  0.0000  0.0000  6 O 2.21
O  0.6094  0.9417  0.8273  2 Ni 2.20-2.22, 1 Pa 2.21
Ni  0.6667  0.3333  0.0000  6 O 2.20-2.23
O  0.0583  0.3906  0.1727  2 Ni 2.20-2.22, 1 Pa 2.21